# 1
A plane-wave DFT calculation with PBE was carried out for a relaxed structure of Pr2PuPd.

Lattice parameters (Å, degrees): 3.6602 3.6602 8.4915 90.00 90.00 90.00
Closest atoms and distances in Å follow each position.
Atoms (fractional coordinates):
1 Pr 0.0000 0.0000 0.2082  4 Pd 3.13
2 Pr 0.0000 0.0000 0.7918  4 Pd 3.13
3 Pu 0.5000 0.5000 0.5000  8 Pr 3.58, 4 Pu 3.66
4 Pd 0.5000 0.5000 0.0000  8 Pr 3.13

Calculated values
V: 28.44 Å³ per atom
SG: P4/mmm (123)
Distance to the lowest polymorph of the same formula: 0.000 eV per atom
Energy of formation: -5.15 kcal/mol of atoms

=====

# 2
A plane-wave DFT calculation with PBE was carried out for a relaxed structure of GaReP2.

Lattice parameters (Å, degrees): 5.4026 5.4026 11.1169 90.00 90.00 90.00
Closest atoms and distances in Å follow each position.
Atoms (fractional coordinates):
1 Ga 0.0000 0.0000 0.0000  4 P 2.44
2 Ga 0.0000 0.5000 0.2500  4 P 2.44
3 Ga 0.5000 0.0000 0.7500  4 P 2.44
4 Ga 0.5000 0.5000 0.5000  4 P 2.44
5 Re 0.0000 0.0000 0.5000  4 P 2.29
6 Re 0.0000 0.5000 0.7500  4 P 2.29
7 Re 0.5000 0.0000 0.2500  4 P 2.29
8 Re 0.5000 0.5000 0.0000  4 P 2.29
9 P 0.2255 0.2500 0.6250  2 Re 2.29, 2 Ga 2.44
10 P 0.2500 0.7255 0.8750  2 Re 2.29, 2 Ga 2.44
11 P 0.2500 0.7745 0.3750  2 Re 2.29, 2 Ga 2.44
12 P 0.2745 0.2500 0.1250  2 Re 2.29, 2 Ga 2.44
13 P 0.7255 0.7500 0.1250  2 Re 2.29, 2 Ga 2.44
14 P 0.7500 0.2255 0.3750  2 Re 2.29, 2 Ga 2.44
15 P 0.7500 0.2745 0.8750  2 Re 2.29, 2 Ga 2.44
16 P 0.7745 0.7500 0.6250  2 Re 2.29, 2 Ga 2.44

Calculated values
V: 20.28 Å³ per atom
SG: I-42d (122)
Energy of formation: 1.67 kcal/mol of atoms

=====

# 3
A plane-wave DFT calculation with PBE was carried out for a relaxed structure of SrTlAu.

Lattice parameters (Å, degrees): 5.0061 3.9650 8.9207 90.00 90.00 90.00
Closest atoms and distances in Å follow each position.
Atoms (fractional coordinates):
1 Sr 0.2500 0.0000 0.2051  6 Au 3.24-3.38
2 Sr 0.7500 0.0000 0.7949  6 Au 3.24-3.38
3 Tl 0.2500 0.5000 0.5913  1 Au 2.91, 2 Tl 2.99
4 Tl 0.7500 0.5000 0.4088  1 Au 2.91, 2 Tl 2.99
5 Au 0.2500 0.5000 0.9175  2 Au 2.90, 1 Tl 2.91, 2 Sr 3.24
6 Au 0.7500 0.5000 0.0825  2 Au 2.90, 1 Tl 2.91, 2 Sr 3.24

Calculated values
V: 29.51 Å³ per atom
SG: Pmma (51)
Energy of formation: -12.73 kcal/mol of atoms

=====

# 4
A plane-wave DFT calculation with PBE was carried out for a relaxed structure of SrYCu4.

Lattice parameters (Å, degrees): 5.3870 5.3870 5.3870 60.00 60.00 60.00
Closest atoms and distances in Å follow each position.
Atoms (fractional coordinates):
1 Sr 0.0000 0.0000 0.0000  12 Cu 3.16, 4 Y 3.30
2 Y 0.7500 0.7500 0.7500  12 Cu 3.16, 4 Sr 3.30
3 Cu 0.3761 0.3761 0.3761  6 Cu 2.67-2.72
4 Cu 0.3761 0.3761 0.8718  6 Cu 2.67-2.72
5 Cu 0.3761 0.8718 0.3761  6 Cu 2.67-2.72
6 Cu 0.8718 0.3761 0.3761  6 Cu 2.67-2.72

Calculated values
V: 18.42 Å³ per atom
SG: F-43m (216)
Energy of formation: -0.16 kcal/mol of atoms

=====

# 5
A plane-wave DFT calculation with PBE was carried out for a relaxed structure of PaMnSbRu.

Lattice parameters (Å, degrees): 6.6745 6.6745 6.6745 90.00 90.00 90.00
Closest atoms and distances in Å follow each position.
Atoms (fractional coordinates):
1 Pa 0.0000 0.0000 0.0000  4 Mn 2.89, 4 Ru 2.89
2 Pa 0.0000 0.5000 0.5000  4 Mn 2.89, 4 Ru 2.89
3 Pa 0.5000 0.0000 0.5000  4 Mn 2.89, 4 Ru 2.89
4 Pa 0.5000 0.5000 0.0000  4 Mn 2.89, 4 Ru 2.89
5 Mn 0.2500 0.2500 0.7500  4 Pa 2.89, 4 Sb 2.89
6 Mn 0.2500 0.7500 0.2500  4 Pa 2.89, 4 Sb 2.89
7 Mn 0.7500 0.2500 0.2500  4 Pa 2.89, 4 Sb 2.89
8 Mn 0.7500 0.7500 0.7500  4 Pa 2.89, 4 Sb 2.89
9 Sb 0.0000 0.0000 0.5000  4 Mn 2.89, 4 Ru 2.89
10 Sb 0.0000 0.5000 0.0000  4 Mn 2.89, 4 Ru 2.89
11 Sb 0.5000 0.0000 0.0000  4 Mn 2.89, 4 Ru 2.89
12 Sb 0.5000 0.5000 0.5000  4 Mn 2.89, 4 Ru 2.89
13 Ru 0.2500 0.2500 0.2500  4 Pa 2.89, 4 Sb 2.89
14 Ru 0.2500 0.7500 0.7500  4 Pa 2.89, 4 Sb 2.89
15 Ru 0.7500 0.2500 0.7500  4 Pa 2.89, 4 Sb 2.89
16 Ru 0.7500 0.7500 0.2500  4 Pa 2.89, 4 Sb 2.89

Calculated values
V: 18.58 Å³ per atom
SG: F-43m (216)

=====

# 6
A plane-wave DFT calculation with PBE was carried out for a relaxed structure of Er6Cu5Pt.

Lattice parameters (Å, degrees): 7.7130 7.7130 6.8796 90.00 90.00 143.29
Closest atoms and distances in Å follow each position.
Atoms (fractional coordinates):
1 Er 0.0000 0.0000 0.2484  6 Cu 2.97-3.05, 2 Pt 2.97
2 Er 0.0000 0.0000 0.7516  6 Cu 2.97-3.05, 2 Pt 2.97
3 Er 0.3343 0.6657 0.2504  7 Cu 2.93-3.02, 1 Pt 2.98
4 Er 0.3343 0.6657 0.7496  7 Cu 2.93-3.02, 1 Pt 2.98
5 Er 0.6657 0.3343 0.2504  7 Cu 2.93-3.02, 1 Pt 2.98
6 Er 0.6657 0.3343 0.7496  7 Cu 2.93-3.02, 1 Pt 2.98
7 Cu 0.1646 0.8354 0.5000  8 Er 2.97-3.02
8 Cu 0.1722 0.8278 0.0000  8 Er 2.93-3.05
9 Cu 0.5000 0.5000 0.5000  8 Er 2.97-2.98
10 Cu 0.8278 0.1722 0.0000  8 Er 2.93-3.05
11 Cu 0.8354 0.1646 0.5000  8 Er 2.97-3.02
12 Pt 0.5000 0.5000 0.0000  8 Er 2.97-2.98

Calculated values
V: 20.39 Å³ per atom
SG: Cmmm (65)
Energy of formation: -10.61 kcal/mol of atoms

=====

# 7
A plane-wave DFT calculation with PBE was carried out for a relaxed structure of Pr2Sc3Si4.

Lattice parameters (Å, degrees): 7.2441 14.2411 7.5452 90.00 90.00 90.00
Closest atoms and distances in Å follow each position.
Atoms (fractional coordinates):
1 Pr 0.0118 0.0976 0.1725  6 Si 3.02-3.14
2 Pr 0.0118 0.4024 0.1725  6 Si 3.02-3.14
3 Pr 0.4882 0.5976 0.6725  6 Si 3.02-3.14
4 Pr 0.4882 0.9024 0.6725  6 Si 3.02-3.14
5 Pr 0.5118 0.0976 0.3275  6 Si 3.02-3.14
6 Pr 0.5118 0.4024 0.3275  6 Si 3.02-3.14
7 Pr 0.9882 0.5976 0.8275  6 Si 3.02-3.14
8 Pr 0.9882 0.9024 0.8275  6 Si 3.02-3.14
9 Sc 0.1611 0.7500 0.4996  6 Si 2.85-3.04
10 Sc 0.1708 0.1251 0.6762  6 Si 2.76-2.85
11 Sc 0.1708 0.3749 0.6762  6 Si 2.76-2.85
12 Sc 0.3292 0.6251 0.1762  6 Si 2.76-2.85
13 Sc 0.3292 0.8749 0.1762  6 Si 2.76-2.85
14 Sc 0.3389 0.2500 0.9996  6 Si 2.85-3.04
15 Sc 0.6611 0.7500 0.0004  6 Si 2.85-3.04
16 Sc 0.6708 0.1251 0.8238  6 Si 2.76-2.85
17 Sc 0.6708 0.3749 0.8238  6 Si 2.76-2.85
18 Sc 0.8292 0.6251 0.3238  6 Si 2.76-2.85
19 Sc 0.8292 0.8749 0.3238  6 Si 2.76-2.85
20 Sc 0.8389 0.2500 0.5004  6 Si 2.85-3.04
21 Si 0.0346 0.7500 0.1252  1 Si 2.59, 5 Sc 2.76-2.86
22 Si 0.1512 0.5396 0.4631  1 Si 2.53, 1 Sc 2.80
23 Si 0.1512 0.9604 0.4631  1 Si 2.53, 1 Sc 2.80
24 Si 0.2124 0.2500 0.3832  1 Si 2.59, 3 Sc 2.85
25 Si 0.2876 0.7500 0.8832  1 Si 2.59, 3 Sc 2.85
26 Si 0.3488 0.0396 0.9631  1 Si 2.53, 1 Sc 2.80
27 Si 0.3488 0.4604 0.9631  1 Si 2.53, 1 Sc 2.80
28 Si 0.4654 0.2500 0.6252  1 Si 2.59, 5 Sc 2.76-2.86
29 Si 0.5346 0.7500 0.3748  1 Si 2.59, 5 Sc 2.76-2.86
30 Si 0.6512 0.5396 0.0369  1 Si 2.53, 1 Sc 2.80
31 Si 0.6512 0.9604 0.0369  1 Si 2.53, 1 Sc 2.80
32 Si 0.7124 0.2500 0.1168  1 Si 2.59, 3 Sc 2.85
33 Si 0.7876 0.7500 0.6168  1 Si 2.59, 3 Sc 2.85
34 Si 0.8488 0.0396 0.5369  1 Si 2.53, 1 Sc 2.80
35 Si 0.8488 0.4604 0.5369  1 Si 2.53, 1 Sc 2.80
36 Si 0.9654 0.2500 0.8748  1 Si 2.59, 5 Sc 2.76-2.86

Calculated values
V: 21.62 Å³ per atom
SG: Pnma (62)
Distance to the lowest polymorph of the same formula: 0.000 eV per atom

=====

# 8
A plane-wave DFT calculation with PBE was carried out for a relaxed structure of FeSb3.

Lattice parameters (Å, degrees): 6.4298 7.8461 3.7302 90.00 90.00 90.00
Closest atoms and distances in Å follow each position.
Atoms (fractional coordinates):
1 Fe 0.0000 0.0000 0.0000  10 Sb 3.15-3.21
2 Fe 0.5000 0.5000 0.0000  10 Sb 3.15-3.21
3 Sb 0.0000 0.5000 0.0000  8 Sb 3.15, 2 Fe 3.21
4 Sb 0.2500 0.2500 0.5000  4 Fe 3.15, 6 Sb 3.15-3.21
5 Sb 0.2500 0.7500 0.5000  4 Fe 3.15, 6 Sb 3.15-3.21
6 Sb 0.5000 0.0000 0.0000  8 Sb 3.15, 2 Fe 3.21
7 Sb 0.7500 0.2500 0.5000  4 Fe 3.15, 6 Sb 3.15-3.21
8 Sb 0.7500 0.7500 0.5000  6 Sb 3.15-3.21, 4 Fe 3.15

Calculated values
V: 23.52 Å³ per atom
SG: Cmmm (65)
Distance to the lowest polymorph of the same formula: 0.571 eV per atom

=====

# 9
A plane-wave DFT calculation with PBE was carried out for a relaxed structure of SbIrRh2.

Lattice parameters (Å, degrees): 5.5592 7.7221 2.9475 90.00 90.00 90.00
Closest atoms and distances in Å follow each position.
Atoms (fractional coordinates):
1 Sb 0.0000 0.0000 0.0000  2 Ir 2.78, 8 Rh 2.80, 2 Sb 2.95
2 Sb 0.5000 0.5000 0.0000  2 Ir 2.78, 8 Rh 2.80, 2 Sb 2.95
3 Ir 0.0000 0.5000 0.0000  2 Sb 2.78, 8 Rh 2.80, 2 Ir 2.95
4 Ir 0.5000 0.0000 0.0000  2 Sb 2.78, 8 Rh 2.80, 2 Ir 2.95
5 Rh 0.2500 0.2500 0.5000  4 Rh 2.78-2.95, 4 Sb 2.80, 4 Ir 2.80
6 Rh 0.2500 0.7500 0.5000  4 Rh 2.78-2.95, 4 Sb 2.80, 4 Ir 2.80
7 Rh 0.7500 0.2500 0.5000  4 Rh 2.78-2.95, 4 Sb 2.80, 4 Ir 2.80
8 Rh 0.7500 0.7500 0.5000  4 Rh 2.78-2.95, 4 Ir 2.80, 4 Sb 2.80

Calculated values
V: 15.82 Å³ per atom
SG: Cmmm (65)

=====

# 10
A plane-wave DFT calculation with PBE was carried out for a relaxed structure of MnIrW.

Lattice parameters (Å, degrees): 4.2385 4.2385 5.3842 90.00 90.00 120.00
Closest atoms and distances in Å follow each position.
Atoms (fractional coordinates):
1 Mn 0.3333 0.6667 0.2500  5 Ir 2.45-2.69
2 Mn 0.6667 0.3333 0.7500  5 Ir 2.45-2.69
3 Ir 0.3333 0.6667 0.7500  5 Mn 2.45-2.69
4 Ir 0.6667 0.3333 0.2500  5 Mn 2.45-2.69
5 W 0.0000 0.0000 0.0000  2 W 2.69, 6 Mn 2.79, 6 Ir 2.79
6 W 0.0000 0.0000 0.5000  2 W 2.69, 6 Mn 2.79, 6 Ir 2.79

Calculated values
V: 13.96 Å³ per atom
SG: P6_3/mmc (194)
Distance to the lowest polymorph of the same formula: 0.069 eV per atom
Energy of formation: -0.21 kcal/mol of atoms

=====

# 11
A plane-wave DFT calculation with PBE was carried out for a relaxed structure of K2Rb2TcO6.

Lattice parameters (Å, degrees): 6.2851 6.2851 6.6332 100.22 100.22 116.10
Closest atoms and distances in Å follow each position.
Atoms (fractional coordinates):
1 K 0.1546 0.8454 0.0000  6 O 2.68-2.77
2 K 0.8454 0.1546 0.0000  6 O 2.68-2.77
3 Rb 0.3243 0.6757 0.5000  4 O 2.78-2.83
4 Rb 0.6757 0.3243 0.5000  4 O 2.78-2.83
5 Tc 0.5000 0.5000 0.0000  6 O 1.90-1.91
6 O 0.1950 0.4490 0.8249  1 Tc 1.91
7 O 0.3288 0.3288 0.1787  1 Tc 1.90
8 O 0.4490 0.1950 0.8249  1 Tc 1.91
9 O 0.5510 0.8050 0.1751  1 Tc 1.91
10 O 0.6712 0.6712 0.8213  1 Tc 1.90
11 O 0.8050 0.5510 0.1751  1 Tc 1.91

Calculated values
V: 20.15 Å³ per atom
SG: C2/m (12)

=====

# 12
A plane-wave DFT calculation with PBE was carried out for a relaxed structure of TbY3Ag2.

Lattice parameters (Å, degrees): 8.6749 8.6749 8.6749 131.99 72.54 129.13
Closest atoms and distances in Å follow each position.
Atoms (fractional coordinates):
1 Tb 0.0000 0.0000 0.0000  2 Ag 2.89
2 Tb 0.5000 0.5000 0.0000  2 Ag 2.89
3 Y 0.0214 0.2500 0.7714  4 Ag 2.96-3.06
4 Y 0.2500 0.7500 0.5000  4 Ag 3.07
5 Y 0.4786 0.2500 0.2286  4 Ag 2.96-3.06
6 Y 0.5214 0.7500 0.7714  4 Ag 2.96-3.06
7 Y 0.7500 0.2500 0.5000  4 Ag 3.07
8 Y 0.9786 0.7500 0.2286  4 Ag 2.96-3.06
9 Ag 0.1420 0.7017 0.8438  1 Tb 2.89, 6 Y 2.96-3.07
10 Ag 0.3580 0.2017 0.5597  1 Tb 2.89, 6 Y 2.96-3.07
11 Ag 0.6420 0.7983 0.4403  1 Tb 2.89, 6 Y 2.96-3.07
12 Ag 0.8580 0.2983 0.1562  1 Tb 2.89, 6 Y 2.96-3.07

Calculated values
V: 30.65 Å³ per atom
SG: Ibam (72)
Distance to the lowest polymorph of the same formula: 0.225 eV per atom
Energy of formation: 0.50 kcal/mol of atoms

=====

| no. | total DFT energy (no corrections) (eV per atom) |
| --- | --- |
| 1 | -7.494 |
| 2 | -6.501 |
| 3 | -2.994 |
| 4 | -4.096 |
| 5 | -8.122 |
| 6 | -4.952 |
| 7 | -6.378 |
| 8 | -4.663 |
| 9 | -6.956 |
| 10 | -10.337 |
| 11 | -5.380 |
| 12 | -4.933 |